Entry a
Below is RbSrAu2 after structural relaxation, with properties calculated at the PBE level.

Lattice parameters (Å, degrees): 4.0319 4.0319 8.1677 90.00 90.00 90.00
With the nearest neighbours (Å) after each atom.
Element x y z (fractional)
Rb (0.0000, 0.0000, 0.0000)  8 Au 3.81, 4 Rb 4.03, 2 Sr 4.08
Sr (0.0000, 0.0000, 0.5000)  8 Au 3.25
Au (0.5000, 0.5000, 0.3091)  1 Au 3.12, 4 Sr 3.25
Au (0.5000, 0.5000, 0.6909)  1 Au 3.12, 4 Sr 3.25

- Crystal system: tetragonal

***

Entry b
Below is RbSrAu2 after structural relaxation, with properties calculated at the PBE level.

Lattice parameters (Å, degrees): 8.6537 8.6537 8.6537 30.70 30.70 30.70
With the nearest neighbours (Å) after each atom.
Element x y z (fractional)
Rb (0.0000, 0.0000, 0.0000)  6 Au 3.55
Sr (0.5000, 0.5000, 0.5000)  6 Au 3.17
Au (0.2373, 0.2373, 0.2373)  3 Sr 3.17
Au (0.7627, 0.7627, 0.7627)  3 Sr 3.17

- Crystal system: trigonal

***

Entry c
Below is RbSrAu2 after structural relaxation, with properties calculated at the PBE level.

Lattice parameters (Å, degrees): 8.8666 8.8666 8.8666 29.51 29.51 29.51
With the nearest neighbours (Å) after each atom.
Element x y z (fractional)
Rb (0.0000, 0.0000, 0.0000)  6 Au 3.52-3.61
Sr (0.8298, 0.8298, 0.8298)  6 Au 3.16-3.18
Au (0.2350, 0.2350, 0.2350)  3 Sr 3.18
Au (0.4262, 0.4262, 0.4262)  3 Sr 3.16, 3 Rb 3.52

- Crystal system: trigonal

***

Entry d
Below is RbSrAu2 after structural relaxation, with properties calculated at the PBE level.

Lattice parameters (Å, degrees): 5.6030 5.6030 5.6030 60.00 60.00 60.00
With the nearest neighbours (Å) after each atom.
Element x y z (fractional)
Rb (0.0000, 0.0000, 0.0000)  8 Au 3.43
Sr (0.5000, 0.5000, 0.5000)  8 Au 3.43
Au (0.2500, 0.2500, 0.2500)  4 Sr 3.43, 4 Rb 3.43
Au (0.7500, 0.7500, 0.7500)  4 Sr 3.43, 4 Rb 3.43

- Crystal system: cubic

***

Computed energies relative to the best structure, in meV per atom: entry a 0; entry b 91; entry c 103; entry d 113